Record 1
VASP calculation (meta-GGA SCAN) on SiPCl4 at its PBEsol-relaxed geometry.

Values from the calculation:
ΔE_f (raw) in eV/atom: 1.2607
Total energy in eV/atom: -7.460

abc: 5.535 5.535 5.535
angles: 60.00 60.00 60.00
Sites, in units of the cell vectors:
Si  0.000  0.000  0.000
P  0.750  0.750  0.750
Cl  0.376  0.376  0.376
Cl  0.376  0.376  0.873
Cl  0.376  0.873  0.376
Cl  0.873  0.376  0.376

Record 2
VASP calculation (meta-GGA SCAN) on SrCrN2O at its PBEsol-relaxed geometry.

Values from the calculation:
ΔE_f (raw) in eV/atom: 1.1953
Total energy in eV/atom: -11.899

abc: 4.664 4.664 4.391
angles: 90.00 90.00 90.00
Sites, in units of the cell vectors:
Sr  0.000  0.000  0.000
Cr  0.500  0.500  0.500
N  0.000  0.500  0.000
N  0.500  0.000  0.000
O  0.000  0.000  0.500

Record 3
VASP calculation (meta-GGA SCAN) on Y2Si3Ni5 at its PBEsol-relaxed geometry.

Values from the calculation:
ΔE_f (raw) in eV/atom: -0.7408
Total energy in eV/atom: -17.401

abc: 7.788 7.788 7.788
angles: 106.16 88.29 138.73
Sites, in units of the cell vectors:
Y  0.128  0.245  0.373
Y  0.372  0.745  0.118
Y  0.628  0.255  0.882
Y  0.872  0.755  0.627
Si  0.119  0.635  0.754
Si  0.250  0.250  0.000
Si  0.381  0.135  0.516
Si  0.619  0.865  0.484
Si  0.750  0.750  0.000
Si  0.881  0.365  0.246
Ni  0.015  0.750  0.265
Ni  0.123  0.876  0.999
Ni  0.250  0.750  0.500
Ni  0.377  0.376  0.752
Ni  0.485  0.750  0.735
Ni  0.515  0.250  0.265
Ni  0.623  0.624  0.248
Ni  0.750  0.250  0.500
Ni  0.877  0.124  0.001
Ni  0.985  0.250  0.735

Record 4
VASP calculation (meta-GGA SCAN) on Li4Y3FeO8 at its PBEsol-relaxed geometry.

Values from the calculation:
ΔE_f (raw) in eV/atom: -2.7858
Total energy in eV/atom: -12.852

abc: 5.656 5.656 6.080
angles: 90.00 90.00 115.23
Sites, in units of the cell vectors:
Li  0.000  0.000  0.000
Li  0.000  0.500  0.244
Li  0.500  0.000  0.756
Li  0.500  0.500  0.500
Y  0.000  0.500  0.738
Y  0.500  0.000  0.262
Y  0.500  0.500  0.000
Fe  0.000  0.000  0.500
O  0.204  0.796  0.500
O  0.233  0.248  0.733
O  0.248  0.233  0.267
O  0.269  0.731  0.000
O  0.731  0.269  0.000
O  0.752  0.767  0.267
O  0.767  0.752  0.733
O  0.796  0.204  0.500